A plane-wave DFT calculation with PBE was carried out for a relaxed structure of Pm2AgBO5.

Calculated values
For the calculated volume, the calculation gives 230.0 Å³/cell. As for the electronic total energy: -0.25851 Ha/atom. Its symmetry is No. 127. The value obtained for the formation energy without anion corrections is -2.1654 eV per atom.

Lattice parameters (Å, degrees): 5.1509 6.6826 6.6826 90.00 90.00 90.00
Last column: nearest neighbours and their distance in Å.
Element x y z (fractional)
Pm1 0.5000 0.6796 0.1796  8 O 2.40-2.49
Pm2 0.5000 0.1796 0.3204  8 O 2.40-2.49
Pm3 0.5000 0.8204 0.6796  8 O 2.40-2.49
Pm4 0.5000 0.3204 0.8204  8 O 2.40-2.49
Ag1 0.0000 0.5000 0.5000  2 O 2.58
Ag2 0.0000 0.0000 0.0000  2 O 2.58
B1 0.0000 0.0000 0.5000  4 O 1.59
B2 0.0000 0.5000 0.0000  4 O 1.59
O1 0.5000 0.5000 0.5000  4 Pm 2.45, 2 Ag 2.58
O2 0.5000 0.0000 0.0000  4 Pm 2.45, 2 Ag 2.58
O3 0.2202 0.1179 0.6179  1 B 1.59
O4 0.2202 0.8821 0.3821  1 B 1.59
O5 0.2202 0.3821 0.1179  1 B 1.59
O6 0.2202 0.6179 0.8821  1 B 1.59
O7 0.7798 0.1179 0.6179  1 B 1.59
O8 0.7798 0.6179 0.8821  1 B 1.59
O9 0.7798 0.8821 0.3821  1 B 1.59
O10 0.7798 0.3821 0.1179  1 B 1.59